1.
VASP calculation (PBE-GGA) on a geometry-optimized LiZrTcTe structure.

POSCAR file:
```
LiZrTcTe
1.0
0.000 3.238 3.238
3.238 0.000 3.238
3.238 3.238 0.000
Li Zr Tc Te
1 1 1 1
direct
0.000 0.000 0.000 Li
0.750 0.750 0.750 Zr
0.500 0.500 0.500 Tc
0.250 0.250 0.250 Te
```

Values from the calculation:
SG: F-43m

***

2.
VASP calculation (PBE-GGA) on a geometry-optimized CsDyF3 structure.

POSCAR file:
```
CsDyF3
1.0
6.187 0.000 0.000
-3.094 5.358 0.000
0.000 0.000 5.413
Cs Dy F
2 2 6
direct
0.333 0.667 0.250 Cs
0.667 0.333 0.750 Cs
0.000 0.000 0.000 Dy
0.000 0.000 0.500 Dy
0.173 0.346 0.750 F
0.173 0.827 0.750 F
0.346 0.173 0.250 F
0.654 0.827 0.750 F
0.827 0.173 0.250 F
0.827 0.654 0.250 F
```

Values from the calculation:
SG: P6_3/mmc

***

3.
VASP calculation (PBE-GGA) on a geometry-optimized Pm12Co6Hg structure.

POSCAR file:
```
Pm12Co6Hg
1.0
-4.946 4.946 4.946
4.946 -4.946 4.946
4.946 4.946 -4.946
Pm Co Hg
12 6 1
direct
0.111 0.806 0.305 Pm
0.194 0.305 0.499 Pm
0.194 0.695 0.889 Pm
0.305 0.111 0.806 Pm
0.305 0.499 0.194 Pm
0.499 0.194 0.305 Pm
0.501 0.806 0.695 Pm
0.695 0.501 0.806 Pm
0.695 0.889 0.194 Pm
0.806 0.305 0.111 Pm
0.806 0.695 0.501 Pm
0.889 0.194 0.695 Pm
0.112 0.612 0.500 Co
0.388 0.500 0.888 Co
0.500 0.112 0.612 Co
0.500 0.888 0.388 Co
0.612 0.500 0.112 Co
0.888 0.388 0.500 Co
0.000 0.000 0.000 Hg
```

Values from the calculation:
SG: Im-3
formation enthalpy at 0 K: -0.1562 eV per atom

***

4.
VASP calculation (PBE-GGA) on a geometry-optimized CsBaTa structure.

POSCAR file:
```
CsBaTa
1.0
0.000 4.077 4.077
4.077 0.000 4.077
4.077 4.077 0.000
Cs Ba Ta
1 1 1
direct
0.000 0.000 0.000 Cs
0.750 0.750 0.750 Ba
0.250 0.250 0.250 Ta
```

Values from the calculation:
SG: F-43m

***

5.
VASP calculation (PBE-GGA) on a geometry-optimized PrTlFeSe3 structure.

POSCAR file:
```
PrTlFeSe3
1.0
9.738 0.000 0.000
0.000 4.290 0.000
0.000 0.000 15.954
Pr Tl Fe Se
4 4 4 12
direct
0.186 0.250 0.057 Pr
0.314 0.750 0.557 Pr
0.686 0.250 0.443 Pr
0.814 0.750 0.943 Pr
0.058 0.750 0.309 Tl
0.442 0.250 0.809 Tl
0.558 0.750 0.191 Tl
0.942 0.250 0.691 Tl
0.150 0.750 0.869 Fe
0.350 0.250 0.369 Fe
0.650 0.750 0.631 Fe
0.850 0.250 0.131 Fe
0.019 0.250 0.894 Se
0.163 0.250 0.469 Se
0.199 0.750 0.724 Se
0.301 0.250 0.224 Se
0.337 0.750 0.969 Se
0.481 0.750 0.394 Se
0.519 0.250 0.606 Se
0.663 0.250 0.031 Se
0.699 0.750 0.776 Se
0.801 0.250 0.276 Se
0.837 0.750 0.531 Se
0.981 0.750 0.106 Se
```

Values from the calculation:
SG: Pnma

***

6.
VASP calculation (PBE-GGA) on a geometry-optimized LaPrAl2Br2 structure.

POSCAR file:
```
LaPrAl2Br2
1.0
4.359 0.000 0.000
-2.180 3.775 0.000
0.000 0.000 11.765
La Pr Al Br
1 1 2 2
direct
0.000 0.000 0.000 La
0.000 0.000 0.373 Pr
0.333 0.667 0.171 Al
0.667 0.333 0.202 Al
0.333 0.667 0.525 Br
0.667 0.333 0.847 Br
```

Values from the calculation:
SG: P3m1

***

7.
VASP calculation (PBE-GGA) on a geometry-optimized Li7NbO6 structure.

POSCAR file:
```
Li7NbO6
1.0
2.758 1.592 4.870
-2.758 1.592 4.870
0.000 -3.184 4.870
Li Nb O
7 1 6
direct
0.000 0.000 0.000 Li
0.161 0.927 0.531 Li
0.165 0.422 0.724 Li
0.422 0.724 0.165 Li
0.531 0.161 0.927 Li
0.724 0.165 0.422 Li
0.927 0.531 0.161 Li
0.654 0.654 0.654 Nb
0.019 0.771 0.420 O
0.275 0.584 0.861 O
0.420 0.019 0.771 O
0.584 0.861 0.275 O
0.771 0.420 0.019 O
0.861 0.275 0.584 O
```

Values from the calculation:
SG: R3

***

8.
VASP calculation (PBE-GGA) on a geometry-optimized CoGe2B structure.

POSCAR file:
```
CoGe2B
1.0
0.000 2.969 2.969
2.969 0.000 2.969
2.969 2.969 0.000
Co Ge B
1 2 1
direct
0.000 0.000 0.000 Co
0.250 0.250 0.250 Ge
0.500 0.500 0.500 Ge
0.750 0.750 0.750 B
```

Values from the calculation:
SG: F-43m

***

Number 1: E -6.33 eV/atom. Number 2: E -5.07 eV/atom. Number 3: E -5.41 eV/atom. Number 4: E -2.82 eV/atom. Number 5: E -5.19 eV/atom. Number 6: E -4.57 eV/atom. Number 7: E -5.90 eV/atom. Number 8: E -4.86 eV/atom.